1.
## Co2SiCl (PBE)

Data for crystalline Co2SiCl at its relaxed geometry.

abc: 5.935 5.935 5.935
angles: 90.00 90.00 90.00
Space group F-43m (No. 216)
Inequivalent atoms, fractional coordinates:
Co: 0.000 0.000 0.000 [4 per cell]
Co: 0.250 0.250 0.250 [4 per cell]
Si: 0.250 0.250 0.750 [4 per cell]
Cl: 0.000 0.000 0.500 [4 per cell]

Summary:
Formation energy (no corrections) (eV per atom): 0.82
Excess energy over the best structure of this formula in the dataset (meV/atom): 947.0
Density of states at the Fermi level (states/eV per cell): 17.93

=====

2.
## LaAl2ZnPd2 (PBE)

Data for crystalline LaAl2ZnPd2 at its relaxed geometry.

abc: 4.676 4.676 5.716
angles: 90.00 90.00 90.00
Space group P4/mmm (No. 123)
Inequivalent atoms, fractional coordinates:
La: 0.000 0.000 0.000 [1 per cell]
Al: 0.500 0.500 0.251 [2 per cell]
Zn: 0.000 0.000 0.500 [1 per cell]
Pd: 0.000 0.500 0.500 [2 per cell]

Summary:
ΔH_f (0 K) (eV per atom): -0.432
Density of states at the Fermi level (states/eV per cell): 4.23

=====

3.
## PmHoZnNi (PBE)

Data for crystalline PmHoZnNi at its relaxed geometry.

abc: 7.027 7.027 7.027
angles: 90.00 90.00 90.00
Space group F-43m (No. 216)
Inequivalent atoms, fractional coordinates:
Pm: 0.000 0.000 0.000 [4 per cell]
Ho: 0.000 0.000 0.500 [4 per cell]
Zn: 0.250 0.250 0.250 [4 per cell]
Ni: 0.250 0.250 0.750 [4 per cell]

Summary:
ΔH_f (0 K) (eV per atom): -0.305
Excess energy over the best structure of this formula in the dataset (meV/atom): 19.7
Density of states at the Fermi level (states/eV per cell): 12.02

=====

> Look up the density of states at the Fermi level of the second one.

4.23 states/eV per cell